VASP calculation (PBE) on a geometry-optimized FeSi2Pt structure. Values from VASP.

The structure in Quantum ESPRESSO input format:
```
&SYSTEM
  ibrav = 0, nat = 4, ntyp = 3
/
ATOMIC_SPECIES
Fe 55.84 Fe.upf
Si 28.09 Si.upf
Pt 195.08 Pt.upf
CELL_PARAMETERS angstrom
2.708 0.000 0.000
0.000 2.708 0.000
0.000 0.000 7.339
ATOMIC_POSITIONS angstrom
Fe 0.000 0.000 0.000
Si 0.000 0.000 3.761
Si 1.354 1.354 5.739
Pt 1.354 1.354 1.937
```

formation energy (no corrections)	-0.025	eV per atom
Fermi-level density of states	2.82	states/eV per cell